Here is a relaxed HfScSi2Pt4 crystal from the Open Quantum Materials Database. Energies are from GGA-PBE.

a = 6.9657 Å, b = 3.7945 Å, c = 9.7805 Å
α = 90.00°, β = 90.00°, γ = 90.00°
With the nearest neighbours (Å) after each atom.
Space group Amm2 (No. 38)
One atom of each set of equivalent atoms:
Hf 0.0000 0.0000 0.0000 [2 per cell]  3 Si 2.77-2.85, 8 Pt 2.93-3.01
Sc 0.5000 0.0000 0.1056 [2 per cell]  3 Si 2.77-2.84, 8 Pt 2.94-3.01
Si 0.0000 0.0000 0.2828 [2 per cell]  6 Pt 2.44-2.52
Si 0.5000 0.0000 0.8222 [2 per cell]  6 Pt 2.45-2.53
Pt 0.2010 0.0000 0.6912 [4 per cell]  3 Si 2.45-2.52
Pt 0.2969 0.0000 0.4148 [4 per cell]  3 Si 2.44-2.53

Values from the calculation:
**Final energy**: -7.521 eV per atom
**Total magnetic moment**: 0.00 μB per cell

Here is a relaxed MgTlFePt crystal from the Open Quantum Materials Database. Energies are from GGA-PBE.

a = 6.5138 Å, b = 6.5138 Å, c = 6.5138 Å
α = 90.00°, β = 90.00°, γ = 90.00°
With the nearest neighbours (Å) after each atom.
Space group F-43m (No. 216)
One atom of each set of equivalent atoms:
Mg 0.0000 0.0000 0.0000 [4 per cell]  4 Tl 2.82, 4 Pt 2.82
Tl 0.2500 0.2500 0.2500 [4 per cell]  4 Fe 2.82, 4 Mg 2.82
Fe 0.0000 0.0000 0.5000 [4 per cell]  4 Pt 2.82, 4 Tl 2.82
Pt 0.2500 0.2500 0.7500 [4 per cell]  4 Fe 2.82, 4 Mg 2.82

Values from the calculation:
**Energy above the most stable polymorph in this dataset**: 0.0 kJ/mol of formula units
**Final energy**: -4.557 eV per atom
**Total magnetic moment**: 12.01 μB per cell

Here is a relaxed SrNi2GeAs crystal from the Open Quantum Materials Database. Energies are from GGA-PBE.

a = 4.1822 Å, b = 4.1822 Å, c = 10.2757 Å
α = 90.00°, β = 90.00°, γ = 90.00°
With the nearest neighbours (Å) after each atom.
Space group I4mm (No. 107)
One atom of each set of equivalent atoms:
Sr 0.0000 0.0000 0.0000 [2 per cell]  4 As 3.28, 4 Ge 3.28, 8 Ni 3.31
Ni 0.0000 0.5000 0.2503 [4 per cell]  2 Ge 2.38, 2 As 2.39
Ge 0.0000 0.0000 0.6389 [2 per cell]  4 Ni 2.38
As 0.0000 0.0000 0.3619 [2 per cell]  4 Ni 2.39

Values from the calculation:
**Final energy**: -5.030 eV per atom
**Total magnetic moment**: 0.04 μB per cell

Here is a relaxed Nb2SiGe2 crystal from the Open Quantum Materials Database. Energies are from GGA-PBE.

a = 3.5115 Å, b = 3.5115 Å, c = 14.0342 Å
α = 90.00°, β = 90.00°, γ = 90.00°
With the nearest neighbours (Å) after each atom.
Space group I4/mmm (No. 139)
One atom of each set of equivalent atoms:
Nb 0.0000 0.0000 0.0989 [4 per cell]  4 Ge 2.75, 1 Nb 2.78, 4 Si 2.84
Si 0.0000 0.0000 0.5000 [2 per cell]  8 Nb 2.84
Ge 0.0000 0.5000 0.2500 [4 per cell]  4 Ge 2.48, 4 Nb 2.75

Values from the calculation:
**Final energy**: -7.089 eV per atom
**Total magnetic moment**: 0.00 μB per cell

Here is a relaxed NaCuTeIrS2 crystal from the Open Quantum Materials Database. Energies are from GGA-PBE.

a = 3.6147 Å, b = 14.0052 Å, c = 9.7490 Å
α = 90.00°, β = 90.00°, γ = 90.00°
With the nearest neighbours (Å) after each atom.
Space group Cmcm (No. 63)
One atom of each set of equivalent atoms:
Na 0.0000 0.2215 0.2500 [4 per cell]  2 Cu 2.99, 4 S 3.12, 2 Te 3.23
Cu 0.0000 0.4488 0.7500 [4 per cell]  2 S 2.22
Te 0.0000 0.0876 0.7500 [4 per cell]  2 Cu 2.65, 2 Ir 2.73
Ir 0.0000 0.0000 0.0000 [4 per cell]  4 S 2.43
S 0.0000 0.3872 0.5404 [8 per cell]  1 Cu 2.22, 2 Ir 2.43

Values from the calculation:
**Final energy**: -4.580 eV per atom
**Total magnetic moment**: 0.01 μB per cell

Here is a relaxed Y2Tm3Lu2Ni2Te2 crystal from the Open Quantum Materials Database. Energies are from GGA-PBE.

a = 3.8123 Å, b = 15.4947 Å, c = 9.4756 Å
α = 90.00°, β = 90.00°, γ = 90.00°
With the nearest neighbours (Å) after each atom.
Space group Imm2 (No. 44)
One atom of each set of equivalent atoms:
Y 0.0000 0.1845 0.0000 [4 per cell]  3 Ni 2.80-3.10
Tm 0.0000 0.1460 0.6487 [4 per cell]  2 Ni 2.80
Tm 0.0000 0.5000 0.3768 [2 per cell]  3 Te 3.18-3.21
Lu 0.0000 0.3667 0.7961 [4 per cell]  2 Ni 2.75
Ni 0.0000 0.2609 0.3022 [4 per cell]  2 Lu 2.75, 2 Tm 2.80, 2 Y 2.80
Te 0.0000 0.0000 0.1451 [2 per cell]  4 Lu 3.15, 2 Y 3.17, 2 Tm 3.18
Te 0.0000 0.5000 0.0385 [2 per cell]  2 Lu 3.09, 5 Tm 3.14-3.21

Values from the calculation:
**Energy above the most stable polymorph in this dataset**: 20.8 kJ/mol of formula units
**Final energy**: -5.467 eV per atom
**Total magnetic moment**: 0.01 μB per cell

> What is the formula in the second record?

MgTlFePt